Entry 1:
Computed, not measured: an optimized crystal structure of LaBeB at the GGA-PBE level of DFT.

Cell and atoms, written as POSCAR:
```
LaBeB
1.0
3.450 0.000 0.000
-1.718 3.447 0.000
-0.114 -0.456 9.112
La Be B
2 2 2
Cartesian
0.000 0.000 0.000
-0.004 1.546 5.154
0.000 1.931 2.117
1.723 0.264 3.134
1.724 1.342 1.551
1.725 2.283 3.033
```

Properties
**E above lowest polymorph**: 167.9 meV per atom
**ΔH_f (0 K)**: -3.9 kJ per mole of atoms
**Space-group type**: P1


Entry 2:
Computed, not measured: an optimized crystal structure of LaBeB at the GGA-PBE level of DFT.

Cell and atoms, written as POSCAR:
```
LaBeB
1.0
5.329 0.000 0.000
0.000 3.144 0.000
0.000 0.000 11.624
La Be B
4 4 4
Cartesian
0.605 0.786 1.609
2.059 2.358 7.421
3.269 0.786 4.203
4.724 2.358 10.015
0.702 2.358 4.464
1.962 0.786 10.276
3.366 2.358 1.348
4.627 0.786 7.160
0.396 0.786 5.604
2.268 2.358 11.416
3.061 0.786 0.208
4.932 2.358 6.020
```

Properties
**E above lowest polymorph**: 110.1 meV per atom
**ΔH_f (0 K)**: -9.5 kJ per mole of atoms
**Space-group type**: Pnma


Entry 3:
Computed, not measured: an optimized crystal structure of La3BeB2N6 at the GGA-PBE level of DFT.

Cell and atoms, written as POSCAR:
```
La3BeB2N6
1.0
5.396 0.000 0.000
-2.698 4.673 0.000
0.000 0.000 6.172
La Be B N
3 1 2 6
Cartesian
0.000 0.000 0.000
0.000 3.115 4.129
2.698 1.558 2.043
0.000 0.000 3.086
0.000 3.115 1.635
2.698 1.558 4.537
0.000 1.662 1.824
-1.258 3.842 1.824
1.440 0.831 4.347
1.258 3.842 1.824
3.956 0.831 4.347
2.698 3.011 4.347
```

Properties
**Space-group type**: P-3m1
**ΔE_f (raw)**: -0.94 eV/atom


DOS(E_F) values (in states/eV per atom) by entry order: 0.546, 0.591, 0.423.